The following is a DFT calculation (PBE with a Hubbard U) of a geometry-optimized K3Mn2O8 structure.

Results
magnetization: 0.077 μB per atom
symmetry: R-3m (166)
E_tot: -5.63 eV per atom
D(E_F): 0.48 states/eV/atom
volume: 215.20 Å³ per cell

Structure (extended XYZ):
```
13
Lattice="7.955 -0.004 -0.002 5.787 5.458 -0.002 5.787 2.297 4.951" Properties=species:S:1:pos:R:3 pbc="T T T"
K 5.775 2.292 1.463
O 10.933 6.057 3.865
K 9.764 3.876 2.473
Mn 1.802 0.715 0.456
Mn 17.727 7.036 4.490
O 16.248 6.449 4.115
O 3.281 1.302 0.831
O 7.418 4.662 1.081
K 13.754 5.459 3.484
O 12.111 4.807 1.174
O 8.596 1.694 1.081
O 12.111 3.090 3.865
O 7.418 2.944 3.773
```